Rb4PbAu | Alexandria via LeMat-Bulk | PBE-GGA | optimized geometry; energy of formation = -1.01 eV per formula unit; SG = F-43m
1.0
0.000 8.499 8.499
8.499 0.000 8.499
8.499 8.499 0.000
Rb Pb Au
16 4 4
Cartesian
4.250 4.250 0.835
4.250 0.835 4.250
7.664 4.250 4.250
8.499 8.499 3.346
10.214 6.785 6.785
8.499 3.346 8.499
13.653 8.499 8.499
0.835 4.250 4.250
4.250 7.664 4.250
4.250 4.250 7.664
6.785 10.214 6.785
6.785 6.785 10.214
10.214 10.214 10.214
3.346 8.499 8.499
8.499 13.653 8.499
8.499 8.499 13.653
13.891 11.607 11.607
11.607 13.891 11.607
11.607 11.607 13.891
13.891 13.891 13.891
6.665 6.665 6.665
10.334 10.334 6.665
10.334 6.665 10.334
6.665 10.334 10.334